# 1
The following is a PBE calculation of crystalline NdGdTm2 at its relaxed geometry, from Alexandria via LeMat-Bulk.

DFT formation energy in eV/atom: 0.10
ΔE to the lowest computed polymorph in meV/atom: 75
Total DFT energy (no corrections) in eV per cell: -27.4
Density of states at the Fermi level in states/eV/atom: 1.780
Total magnetic moment in Bohr magnetons per cell: 7.486

Geometry as extended XYZ:
```
4
Lattice="-4.1513 -3.3344 -1.9482 1.1113 -3.8742 -3.9878 -0.0573 -5.5157 1.3119" Properties=species:S:1:pos:R:3 pbc="T T T"
Tm -2.3230 -9.5432 -3.4680
Tm -0.7743 -3.1811 -1.1560
Gd -1.5487 -6.3621 -2.3120
Nd 0.0000 0.0000 0.0000
```

# 2
The following is a PBE calculation of crystalline NdGdTm at its relaxed geometry, from Alexandria via LeMat-Bulk.

DFT formation energy in eV/atom: 0.07
ΔE to the lowest computed polymorph in meV/atom: 42
Total DFT energy (no corrections) in eV per cell: -23.1
Density of states at the Fermi level in states/eV/atom: 1.638
Total magnetic moment in Bohr magnetons per cell: 7.539

Geometry as extended XYZ:
```
3
Lattice="3.4742 0.0000 0.0000 0.0000 5.6897 0.0000 0.0000 -2.8449 4.9274" Properties=species:S:1:pos:R:3 pbc="T T T"
Nd 2.3162 0.0000 3.2850
Tm 0.5786 2.8449 1.6425
Gd 0.5794 0.0000 0.0000
```